(1)
Density functional theory data (PBE) for a relaxed NdSm2N2 crystal.

a = 11.5056 Å, b = 5.1002 Å, c = 7.3636 Å
α = 90.00°, β = 109.49°, γ = 90.00°
Space group C2/m (No. 12)
Symmetry-distinct sites (fractional):
Nd (0.1575, 0.0000, 0.0947) [4 per cell]
Sm (0.0061, 0.5000, 0.7310) [4 per cell]
Sm (0.1624, 0.0000, 0.5710) [4 per cell]
N (0.0031, 0.0000, 0.2556) [4 per cell]
N (0.1634, 0.5000, 0.5796) [4 per cell]

Computed properties:
Magnetic moment   0.00 μB/f.u.
Energy above the lowest structure with this stoichiometry   5 meV/atom
ρ   7.71 g cm⁻³
Formation energy (no corrections)   -1.124 eV per atom

=====

(2)
Density functional theory data (PBE) for a relaxed Ac5Te4Pb crystal.

a = 10.6791 Å, b = 10.6791 Å, c = 6.7327 Å
α = 90.00°, β = 90.00°, γ = 90.00°
Space group I4/m (No. 87)
Symmetry-distinct sites (fractional):
Ac (0.0000, 0.0000, 0.0000) [2 per cell]
Ac (0.1001, 0.2959, 0.5000) [8 per cell]
Te (0.0989, 0.3017, 0.0000) [8 per cell]
Pb (0.0000, 0.0000, 0.5000) [2 per cell]

Computed properties:
Magnetic moment   0.00 μB/f.u.
Energy above the lowest structure with this stoichiometry   0 meV/atom
ρ   8.01 g cm⁻³
Formation energy (no corrections)   -1.345 eV per atom